DFT (PBE-GGA) results for crystalline K2ZrNi at its relaxed geometry.

a b c (Å): 5.672 5.672 5.672
angles (deg): 60.00 60.00 60.00
Positions (direct):
K 0.250 0.250 0.250
K 0.750 0.750 0.750
Zr 0.000 0.000 0.000
Ni 0.500 0.500 0.500

Relative energy among the computed polymorphs in kJ/mol of formula units: 460
Energy in eV for the cell shown: -10.515

=====

DFT (PBE-GGA) results for crystalline K2ZrNi at its relaxed geometry.

a b c (Å): 3.062 3.062 11.847
angles (deg): 90.00 90.00 90.00
Positions (direct):
K 0.000 0.000 0.203
K 0.000 0.000 0.797
Zr 0.500 0.500 0.500
Ni 0.500 0.500 0.000

Relative energy among the computed polymorphs in kJ/mol of formula units: 258
Energy in eV for the cell shown: -12.608

=====

DFT (PBE-GGA) results for crystalline KZrNi2 at its relaxed geometry.

a b c (Å): 5.067 5.067 2.905
angles (deg): 90.00 90.00 90.00
Positions (direct):
K 0.000 0.000 0.000
Zr 0.500 0.500 0.000
Ni 0.000 0.500 0.500
Ni 0.500 0.000 0.500

Relative energy among the computed polymorphs in kJ/mol of formula units: 178
Energy in eV for the cell shown: -19.065

=====

DFT (PBE-GGA) results for crystalline K2ZrNi at its relaxed geometry.

a b c (Å): 12.281 12.281 12.281
angles (deg): 14.85 14.85 14.85
Positions (direct):
K 0.236 0.236 0.236
K 0.764 0.764 0.764
Zr 0.000 0.000 0.000
Ni 0.500 0.500 0.500

Relative energy among the computed polymorphs in kJ/mol of formula units: 245
Energy in eV for the cell shown: -12.745

=====

DFT (PBE-GGA) results for crystalline KZrNi2 at its relaxed geometry.

a b c (Å): 6.107 6.107 6.107
angles (deg): 105.73 105.73 117.24
Positions (direct):
K 0.000 0.000 0.000
K 0.750 0.250 0.500
Zr 0.250 0.750 0.500
Zr 0.500 0.500 0.000
Ni 0.172 0.625 0.047
Ni 0.375 0.422 0.547
Ni 0.578 0.125 0.953
Ni 0.875 0.828 0.453

Relative energy among the computed polymorphs in kJ/mol of formula units: 249
Energy in eV for the cell shown: -36.666

=====

DFT (PBE-GGA) results for crystalline KZrNi2 at its relaxed geometry.

a b c (Å): 3.301 3.273 7.816
angles (deg): 90.00 90.36 90.00
Positions (direct):
K 0.000 0.000 0.000
Zr 0.000 0.000 0.500
Ni 0.497 0.500 0.330
Ni 0.503 0.500 0.670

Relative energy among the computed polymorphs in kJ/mol of formula units: 0
Energy in eV for the cell shown: -20.911

=====

DFT (PBE-GGA) results for crystalline K2ZrNi at its relaxed geometry.

a b c (Å): 3.303 6.295 5.013
angles (deg): 90.00 92.52 90.00
Positions (direct):
K 0.238 0.000 0.262
K 0.762 0.000 0.738
Zr 0.500 0.500 0.000
Ni 0.000 0.500 0.500

Relative energy among the computed polymorphs in kJ/mol of formula units: 249
Energy in eV for the cell shown: -12.699

=====

DFT (PBE-GGA) results for crystalline KZrNi2 at its relaxed geometry.

a b c (Å): 4.593 4.593 4.593
angles (deg): 60.00 60.00 60.00
Positions (direct):
K 0.000 0.000 0.000
Zr 0.750 0.750 0.750
Ni 0.250 0.250 0.250
Ni 0.500 0.500 0.500

Relative energy among the computed polymorphs in kJ/mol of formula units: 288
Energy in eV for the cell shown: -17.926

=====

DFT (PBE-GGA) results for crystalline K2ZrNi at its relaxed geometry.

a b c (Å): 6.969 6.969 3.259
angles (deg): 102.81 102.81 130.06
Positions (direct):
K 0.000 0.500 0.000
K 0.500 0.000 0.000
Zr 0.000 0.000 0.500
Ni 0.500 0.500 0.500

Relative energy among the computed polymorphs in kJ/mol of formula units: 249
Energy in eV for the cell shown: -12.696

=====

DFT (PBE-GGA) results for crystalline KZrNi2 at its relaxed geometry.

a b c (Å): 3.268 3.268 8.370
angles (deg): 90.00 90.00 90.00
Positions (direct):
K 0.000 0.000 0.000
Zr 0.500 0.500 0.575
Ni 0.000 0.000 0.418
Ni 0.500 0.500 0.291

Relative energy among the computed polymorphs in kJ/mol of formula units: 95
Energy in eV for the cell shown: -19.923

=====

DFT (PBE-GGA) results for crystalline K2ZrNi at its relaxed geometry.

a b c (Å): 9.115 9.115 9.115
angles (deg): 93.73 93.73 150.46
Positions (direct):
K 0.375 0.220 0.345
K 0.780 0.125 0.155
K 0.875 0.030 0.655
K 0.970 0.625 0.845
Zr 0.250 0.750 0.500
Zr 0.500 0.500 0.000
Ni 0.000 0.000 0.000
Ni 0.750 0.250 0.500

Relative energy among the computed polymorphs in kJ/mol of formula units: 231
Energy in eV for the cell shown: -25.765

=====

DFT (PBE-GGA) results for crystalline K2ZrNi at its relaxed geometry.

a b c (Å): 10.885 10.885 3.949
angles (deg): 100.03 100.03 17.72
Positions (direct):
K 0.151 0.151 0.144
K 0.849 0.849 0.856
Zr 0.000 0.000 0.500
Ni 0.500 0.500 0.000

Relative energy among the computed polymorphs in kJ/mol of formula units: 14
Energy in eV for the cell shown: -15.136

=====

DFT (PBE-GGA) results for crystalline KZrNi2 at its relaxed geometry.

a b c (Å): 4.535 4.535 8.143
angles (deg): 114.59 114.59 39.31
Positions (direct):
K 0.000 0.000 0.000
Zr 0.226 0.226 0.505
Ni 0.567 0.567 0.636
Ni 0.885 0.885 0.372

Relative energy among the computed polymorphs in kJ/mol of formula units: 101
Energy in eV for the cell shown: -19.869

=====

DFT (PBE-GGA) results for crystalline KZrNi2 at its relaxed geometry.

a b c (Å): 3.598 3.598 8.567
angles (deg): 96.70 96.70 51.81
Positions (direct):
K 0.000 0.000 0.000
Zr 0.500 0.500 0.500
Ni 0.229 0.229 0.693
Ni 0.771 0.771 0.307

Relative energy among the computed polymorphs in kJ/mol of formula units: 98
Energy in eV for the cell shown: -19.898

=====

DFT (PBE-GGA) results for crystalline K2ZrNi at its relaxed geometry.

a b c (Å): 5.352 5.352 5.352
angles (deg): 60.00 60.00 60.00
Positions (direct):
K 0.000 0.000 0.000
K 0.250 0.250 0.250
Zr 0.750 0.750 0.750
Ni 0.500 0.500 0.500

Relative energy among the computed polymorphs in kJ/mol of formula units: 309
Energy in eV for the cell shown: -12.074